[1]
A relaxed Rb2AgHgBr5 crystal. Source: Alexandria via LeMat-Bulk, functional PBE.

abc: 4.442 10.704 13.889
angles: 90.00 90.00 101.98
Atoms (fractional coordinates):
Rb  0.873  0.746  0.810
Rb  0.128  0.256  0.684
Rb  0.127  0.254  0.310
Rb  0.872  0.744  0.184
Ag  0.766  0.532  0.545
Ag  0.234  0.468  0.045
Hg  0.571  0.141  0.941
Hg  0.429  0.859  0.441
Br  0.357  0.715  0.997
Br  0.689  0.379  0.874
Br  0.505  0.010  0.775
Br  0.298  0.596  0.651
Br  0.960  0.920  0.545
Br  0.643  0.285  0.497
Br  0.311  0.621  0.374
Br  0.495  0.990  0.275
Br  0.702  0.404  0.151
Br  0.040  0.080  0.045

---

[2]
A relaxed CoHg2Cl crystal. Source: Alexandria via LeMat-Bulk, functional PBE.

For the energy above the most stable polymorph in this dataset, the calculation gives 0 meV per atom. The density of states at the Fermi level is 2.284 states/eV/cell.

abc: 9.307 9.307 9.307
angles: 21.15 21.15 21.15
Site moments in Bohr magnetons follow the coordinates.
Atoms (fractional coordinates):
Co  0.757  0.757  0.757  1.86
Hg  0.020  0.020  0.020  0.01
Hg  0.254  0.254  0.254  0.01
Cl  0.468  0.468  0.468  0.13

---

| no. | E (eV/atom) | E_form (uncorrected) (meV per atom) |
| --- | --- | --- |
| 1 | -2.4938 | -999 |
| 2 | -2.4081 | -19 |